First-principles (GGA-PBE) data for a geometry-optimized Ce3Se3Cl structure, as listed in the Alexandria database.

- Magnetic moment: 3.09 μB/cell
- Raw formation energy: -1864 meV/atom
- VASP energy: -6.1646 eV per atom
- Crystal system: tetragonal

Structure (CIF):
```
data_Ce3Se3Cl
_cell_length_a 4.197
_cell_length_b 4.197
_cell_length_c 11.497
_cell_angle_alpha 90.00
_cell_angle_beta 90.00
_cell_angle_gamma 90.00
_space_group_name_H-M_alt 'P 4/m m m'
_space_group_IT_number 123
_space_group_name_Hall '-P 4 2'
loop_
_atom_site_label
_atom_site_fract_x
_atom_site_fract_y
_atom_site_fract_z
_atom_site_occupancy
Ce1 0.000 0.000 0.000 1
Ce2 0.500 0.500 0.260 1
Se1 0.000 0.000 0.262 1
Se2 0.500 0.500 0.000 1
Cl1 0.500 0.500 0.500 1
```